# 1
Compound: NiW2
Source: the Open Quantum Materials Database
Functional: PBE-GGA
Structure: optimized geometry

extended XYZ file:
```
30
Lattice="-7.431 5.422 1.560 -2.275 -0.520 -9.034 -2.724 -3.997 0.916" Properties=species:S:1:pos:R:3 pbc="T T T"
Ni 0.000 0.000 0.000
Ni -5.682 3.999 0.552
Ni -7.513 4.924 -0.858
Ni -2.193 -0.022 -6.616
Ni -4.025 0.903 -8.026
Ni -5.133 0.220 -1.071
Ni -4.160 -0.901 -3.070
Ni -6.215 0.452 -3.279
Ni -8.271 1.806 -3.488
Ni -7.298 0.684 -5.487
W -3.733 2.442 -0.445
W -3.871 1.955 -2.980
W -2.013 0.460 -3.980
W -7.694 4.442 -3.495
W -5.836 2.947 -4.494
W -5.973 2.460 -7.029
W -2.451 -0.099 -1.137
W -8.612 3.012 -5.881
W -6.479 2.532 -1.572
W -4.596 0.362 -5.442
W -6.122 1.394 1.104
W -8.271 2.822 0.945
W -9.361 3.029 -1.390
W -3.070 -2.124 -5.168
W -4.160 -1.917 -7.503
W -6.309 -0.489 -7.661
W -7.835 0.543 -1.116
W -5.952 -1.627 -4.986
W -3.819 -2.107 -0.677
W -9.980 1.004 -5.421
```

ΔE_f   0.0609 eV per atom
Energy relative to the lowest polymorph listed for this composition   0.000 eV/atom
Total moment   0.01 μB per formula unit



# 2
Compound: Zn2NiW
Source: the Open Quantum Materials Database
Functional: PBE-GGA
Structure: optimized geometry

extended XYZ file:
```
4
Lattice="0.000 3.008 3.008 3.008 0.000 3.008 3.008 3.008 0.000" Properties=species:S:1:pos:R:3 pbc="T T T"
Ni 1.504 1.504 1.504
W 3.008 3.008 3.008
Zn 0.000 0.000 0.000
Zn 4.512 4.512 4.512
```

ΔE_f   0.3016 eV per atom
Total moment   0.22 μB per formula unit



# 3
Compound: ZnNi2W
Source: the Open Quantum Materials Database
Functional: PBE-GGA
Structure: optimized geometry

extended XYZ file:
```
4
Lattice="-3.648 -1.636 -1.118 -3.516 1.416 1.693 -2.658 2.222 -2.288" Properties=species:S:1:pos:R:3 pbc="T T T"
Ni 0.000 0.000 0.000
Ni -7.366 1.501 -1.285
W -4.911 1.001 -0.857
Zn -2.455 0.500 -0.428
```

ΔE_f   0.1559 eV per atom
Total moment   0.00 μB per formula unit



# 4
Compound: ZnNi2W
Source: the Open Quantum Materials Database
Functional: PBE-GGA
Structure: optimized geometry

extended XYZ file:
```
4
Lattice="0.000 2.934 2.934 2.934 0.000 2.934 2.934 2.934 0.000" Properties=species:S:1:pos:R:3 pbc="T T T"
Ni 0.000 0.000 0.000
Ni 4.401 4.401 4.401
W 1.467 1.467 1.467
Zn 2.934 2.934 2.934
```

ΔE_f   0.1562 eV per atom
Total moment   0.00 μB per formula unit



# 5
Compound: ZnNi6W
Source: the Open Quantum Materials Database
Functional: PBE-GGA
Structure: optimized geometry

extended XYZ file:
```
8
Lattice="-0.462 -2.013 -2.958 2.526 -2.296 1.168 -5.019 -3.805 3.374" Properties=species:S:1:pos:R:3 pbc="T T T"
Ni 1.032 -2.155 -0.895
Ni -1.500 -1.968 -0.626
Ni -0.005 -2.110 1.437
Ni -1.478 -4.057 0.792
Ni -3.982 -3.850 1.042
Ni -2.488 -3.991 3.105
W -2.509 -1.902 1.687
Zn 0.000 0.000 0.000
```

ΔE_f   -0.1668 eV per atom
Total moment   0.01 μB per formula unit



# 6
Compound: YNi13
Source: the Open Quantum Materials Database
Functional: PBE-GGA
Structure: optimized geometry

extended XYZ file:
```
28
Lattice="-1.825 -7.329 2.131 -7.345 -2.624 -0.867 -1.622 -5.388 -5.471" Properties=species:S:1:pos:R:3 pbc="T T T"
Ni 0.000 0.000 0.000
Ni -3.573 -6.264 0.895
Ni -6.968 -9.050 1.047
Ni -7.531 -4.983 -0.520
Ni -4.997 -8.085 0.217
Ni -5.258 -5.770 -0.660
Ni -7.217 -7.306 -0.597
Ni -2.654 -8.641 0.312
Ni -5.753 -3.907 -2.106
Ni -8.650 -9.211 -0.948
Ni -3.219 -7.010 -1.369
Ni -6.299 -9.683 -1.180
Ni -6.940 -5.931 -2.654
Ni -5.396 -7.671 -2.103
Ni -3.852 -9.411 -1.552
Ni -4.494 -5.659 -3.027
Ni -7.573 -8.332 -2.838
Ni -2.142 -6.131 -3.259
Ni -5.039 -11.435 -2.101
Ni -8.138 -6.701 -4.519
Ni -3.576 -8.036 -3.609
Ni -5.534 -9.572 -3.547
Ni -5.795 -7.257 -4.424
Ni -3.261 -10.359 -3.687
Ni -3.824 -6.292 -5.253
Ni -7.220 -9.078 -5.101
Y -2.698 -3.835 -1.052
Y -8.094 -11.506 -3.155
```

ΔE_f   -0.0814 eV per atom
Total moment   6.48 μB per formula unit



# 7
Compound: Y4Ni
Source: the Open Quantum Materials Database
Functional: PBE-GGA
Structure: optimized geometry

extended XYZ file:
```
10
Lattice="7.110 0.000 0.000 0.000 7.110 0.000 0.000 0.000 5.575" Properties=species:S:1:pos:R:3 pbc="T T T"
Ni 0.000 0.000 0.000
Ni 3.555 3.555 0.000
Y 2.433 1.122 0.000
Y 5.988 2.433 0.000
Y 1.122 4.677 0.000
Y 4.677 5.988 0.000
Y 4.711 1.156 2.788
Y 1.156 2.399 2.788
Y 5.953 4.711 2.788
Y 2.399 5.953 2.788
```

ΔE_f   0.0659 eV per atom
Total moment   0.03 μB per formula unit



# 8
Compound: Y2Ni7
Source: the Open Quantum Materials Database
Functional: PBE-GGA
Structure: optimized geometry

extended XYZ file:
```
36
Lattice="4.929 0.000 0.000 -2.464 4.268 0.000 0.000 0.000 24.112" Properties=species:S:1:pos:R:3 pbc="T T T"
Ni 0.000 0.000 0.000
Ni 1.236 0.713 2.070
Ni 3.693 0.713 2.070
Ni 2.464 2.842 2.070
Ni 0.000 0.000 4.037
Ni 2.464 1.423 4.042
Ni 1.232 0.712 6.028
Ni 3.696 0.712 6.028
Ni 2.464 2.845 6.028
Ni 2.464 1.423 8.014
Ni 0.000 0.000 8.019
Ni 1.236 0.713 9.986
Ni 3.693 0.713 9.986
Ni 2.464 2.842 9.986
Ni 0.000 0.000 12.056
Ni 0.000 1.427 14.126
Ni -1.229 3.555 14.126
Ni 1.229 3.555 14.126
Ni 0.000 0.000 16.093
Ni 0.000 2.846 16.098
Ni 0.000 1.423 18.084
Ni -1.232 3.557 18.084
Ni 1.232 3.557 18.084
Ni 0.000 2.846 20.070
Ni 0.000 0.000 20.075
Ni 0.000 1.427 22.042
Ni -1.229 3.555 22.042
Ni 1.229 3.555 22.042
Y 0.000 2.846 0.711
Y 0.000 2.846 4.205
Y 0.000 2.846 7.851
Y 0.000 2.846 11.345
Y 2.464 1.423 12.767
Y 2.464 1.423 16.261
Y 2.464 1.423 19.907
Y 2.464 1.423 23.401
```

ΔE_f   -0.3815 eV per atom
Total moment   1.17 μB per formula unit



# 9
Compound: YNi4
Source: the Open Quantum Materials Database
Functional: PBE-GGA
Structure: optimized geometry

extended XYZ file:
```
10
Lattice="6.873 0.000 0.000 0.000 6.873 0.000 0.000 0.000 2.902" Properties=species:S:1:pos:R:3 pbc="T T T"
Ni 2.557 0.880 0.000
Ni 5.993 2.557 0.000
Ni 0.880 4.316 0.000
Ni 4.316 5.993 0.000
Ni 4.556 1.120 1.451
Ni 1.120 2.316 1.451
Ni 5.752 4.556 1.451
Ni 2.316 5.752 1.451
Y 0.000 0.000 0.000
Y 3.436 3.436 0.000
```

ΔE_f   -0.0509 eV per atom
Total moment   0.03 μB per formula unit



# 10
Compound: YNi
Source: the Open Quantum Materials Database
Functional: PBE-GGA
Structure: optimized geometry

extended XYZ file:
```
2
Lattice="-0.483 -2.152 3.394 2.584 -2.816 1.331 2.304 0.365 3.308" Properties=species:S:1:pos:R:3 pbc="T T T"
Ni 0.000 0.000 0.000
Y 2.202 -2.301 4.017
```

ΔE_f   -0.1866 eV per atom
Total moment   0.00 μB per formula unit



# 11
Compound: YZn8Ni4
Source: the Open Quantum Materials Database
Functional: PBE-GGA
Structure: optimized geometry

extended XYZ file:
```
13
Lattice="-4.272 4.272 2.524 4.272 -4.272 2.524 4.272 4.272 -2.524" Properties=species:S:1:pos:R:3 pbc="T T T"
Ni -2.136 2.136 1.262
Ni 2.136 -2.136 1.262
Ni 2.136 2.136 -1.262
Ni 2.136 2.136 1.262
Y 0.000 0.000 0.000
Zn 0.000 1.904 2.524
Zn 1.904 0.000 2.524
Zn 0.000 2.921 0.000
Zn 2.921 0.000 0.000
Zn 0.000 5.623 0.000
Zn 5.623 0.000 0.000
Zn 4.272 2.368 0.000
Zn 2.368 4.272 0.000
```

ΔE_f   -0.3097 eV per atom
Total moment   0.00 μB per formula unit



# 12
Compound: YZnNi
Source: the Open Quantum Materials Database
Functional: PBE-GGA
Structure: optimized geometry

extended XYZ file:
```
12
Lattice="-3.372 -4.386 3.871 3.206 -2.462 0.003 2.742 3.577 6.443" Properties=species:S:1:pos:R:3 pbc="T T T"
Ni 0.243 -1.341 1.796
Ni -0.732 -2.606 5.402
Ni 3.308 -0.665 4.915
Ni 2.332 -1.931 8.521
Y -0.333 -5.406 4.925
Y 1.706 -2.752 3.819
Y 0.870 -0.519 6.498
Y 2.909 2.134 5.391
Zn -1.200 -3.219 2.894
Zn 1.516 0.319 3.380
Zn 1.059 -3.590 6.937
Zn 3.776 -0.053 7.422
```

ΔE_f   -0.4598 eV per atom
Total moment   0.00 μB per formula unit